Computed, not measured: BaSb2S3 after structural relaxation at the PBE level of DFT.

Cell lengths 7.5844, 7.5844, 7.6891 Å; angles 90.00, 90.00, 78.57 degrees
With the nearest neighbours (Å) after each atom.
Fractional positions:
Ba1 0.2187 0.7813 0.7500  3 S 3.05-3.15
Ba2 0.7813 0.2187 0.2500  3 S 3.05-3.15
Sb1 0.3257 0.3257 0.0000  4 S 2.60-2.84
Sb2 0.3257 0.3257 0.5000  4 S 2.60-2.84
Sb3 0.6743 0.6743 0.0000  4 S 2.60-2.84
Sb4 0.6743 0.6743 0.5000  4 S 2.60-2.84
S1 0.1642 0.1901 0.7500  2 Sb 2.60
S2 0.1901 0.1642 0.2500  2 Sb 2.60
S3 0.4530 0.5470 0.2500  4 Sb 2.84, 1 Ba 3.15
S4 0.5470 0.4530 0.7500  4 Sb 2.84, 1 Ba 3.15
S5 0.8099 0.8358 0.7500  2 Sb 2.60
S6 0.8358 0.8099 0.2500  2 Sb 2.60

Properties
The size of the total moment is 0.0 μB/f.u. The raw formation energy is -0.47 eV per atom. For the total energy, the calculation gives -4.2274 eV/atom.